UNi4Sb | GGA-PBE | optimized geometry

The total energy comes out at -39.8 eV per formula unit. The value obtained for the raw formation energy is -0.214 eV/atom. The crystal system is cubic.

Lattice parameters (Å, degrees): 7.064 7.064 7.064 90.00 90.00 90.00
Space group F-43m (No. 216)
Inequivalent atoms, fractional coordinates:
U (0.000, 0.000, 0.000)
Ni (0.125, 0.125, 0.625)
Sb (0.250, 0.250, 0.250)